A relaxed Re2HgPb crystal. Source: Alexandria, functional PBE.

a b c (Å): 2.976 2.976 9.639
angles (deg): 90.00 90.00 117.81
Fractional coordinates of all 4 atoms:
Re (0.000, 0.000, 0.499)
Re (0.000, 0.000, 0.001)
Pb (0.500, 0.500, 0.750)
Hg (0.500, 0.500, 0.250)

Its symmetry is Cmmm. The energy relative to the lowest polymorph listed for this composition comes out at 3.411 eV per formula unit.

=====

A relaxed Re2HgPb crystal. Source: Alexandria, functional PBE.

a b c (Å): 4.177 4.177 7.693
angles (deg): 80.21 80.21 43.64
Fractional coordinates of all 4 atoms:
Re (0.016, 0.016, 0.941)
Re (0.751, 0.751, 0.811)
Pb (0.252, 0.252, 0.210)
Hg (0.482, 0.482, 0.538)

Its symmetry is Cm. The energy relative to the lowest polymorph listed for this composition comes out at 1.319 eV per formula unit.

=====

A relaxed Re2HgPb crystal. Source: Alexandria, functional PBE.

a b c (Å): 9.278 9.278 9.278
angles (deg): 18.96 18.96 18.96
Fractional coordinates of all 4 atoms:
Re (0.500, 0.500, 0.500)
Re (0.000, 0.000, 0.000)
Pb (0.750, 0.750, 0.750)
Hg (0.250, 0.250, 0.250)

Its symmetry is R-3m. The energy relative to the lowest polymorph listed for this composition comes out at 2.916 eV per formula unit.

=====

A relaxed Re2HgPb crystal. Source: Alexandria, functional PBE.

a b c (Å): 5.146 5.146 3.075
angles (deg): 90.00 90.00 113.39
Fractional coordinates of all 4 atoms:
Re (0.500, 0.500, 0.000)
Re (0.000, 0.000, 0.000)
Pb (0.000, 0.500, 0.500)
Hg (0.500, 0.000, 0.500)

Its symmetry is Cmmm. The energy relative to the lowest polymorph listed for this composition comes out at 3.742 eV per formula unit.

=====

A relaxed ReHgPb2 crystal. Source: Alexandria, functional PBE.

a b c (Å): 5.099 5.099 5.099
angles (deg): 60.00 60.00 60.00
Fractional coordinates of all 4 atoms:
Pb (0.000, 0.000, 0.000)
Pb (0.250, 0.250, 0.250)
Re (0.750, 0.750, 0.750)
Hg (0.500, 0.500, 0.500)

Its symmetry is F-43m.

=====

A relaxed Re2HgPb crystal. Source: Alexandria, functional PBE.

a b c (Å): 4.807 3.715 4.983
angles (deg): 95.36 90.00 90.00
Fractional coordinates of all 4 atoms:
Hg (0.500, 0.250, 0.250)
Re (0.000, 0.561, 0.417)
Re (0.000, 0.939, 0.083)
Pb (0.500, 0.750, 0.750)

Its symmetry is P2/m. The energy relative to the lowest polymorph listed for this composition comes out at 2.292 eV per formula unit.

=====

A relaxed ReHg4Pb crystal. Source: Alexandria, functional PBE.

a b c (Å): 5.843 5.843 5.843
angles (deg): 60.00 60.00 60.00
Fractional coordinates of all 6 atoms:
Hg (0.876, 0.375, 0.375)
Hg (0.375, 0.375, 0.375)
Hg (0.375, 0.375, 0.876)
Hg (0.375, 0.876, 0.375)
Re (0.000, 0.000, 0.000)
Pb (0.750, 0.750, 0.750)

Its symmetry is F-43m.

=====

A relaxed Re2HgPb2 crystal. Source: Alexandria, functional PBE.

a b c (Å): 5.449 5.449 5.628
angles (deg): 61.05 61.05 90.00
Fractional coordinates of all 5 atoms:
Hg (0.000, 0.000, 0.000)
Re (0.363, 0.363, 0.274)
Re (0.637, 0.637, 0.726)
Pb (0.750, 0.250, 0.500)
Pb (0.250, 0.750, 0.500)

Its symmetry is I4/mmm. The energy relative to the lowest polymorph listed for this composition comes out at 0.782 eV per formula unit.

=====

| no. | calculated volume (Å³/cell) | DFT formation energy (eV/atom) |
| --- | --- | --- |
| 1 | 75.5 | 1.28 |
| 2 | 91.1 | 0.75 |
| 3 | 73.7 | 1.15 |
| 4 | 74.7 | 1.36 |
| 5 | 93.7 | 1.08 |
| 6 | 88.6 | 1.00 |
| 7 | 141.1 | 0.93 |
| 8 | 121.8 | 1.00 |